Record 1
VASP calculation (PBE-GGA) on crystalline CdFe4Cl at its relaxed geometry.

Properties
- Formation energy from raw total energies: 0.52 eV per atom
- Fermi-level density of states: 0.85 states/eV per atom
- Calculated total energy: -5.584 eV per atom
- Magnetization: 11.58 Bohr magnetons per cell

Cell lengths 5.0974, 5.0974, 5.0974 Å; angles 60.00, 60.00, 60.00 degrees
Atoms (fractional coordinates):
Cd1 0.0000 0.0000 0.0000
Fe1 0.1190 0.6270 0.6270
Fe2 0.6270 0.1190 0.6270
Fe3 0.6270 0.6270 0.1190
Fe4 0.6270 0.6270 0.6270
Cl1 0.2500 0.2500 0.2500

=====

Record 2
VASP calculation (PBE-GGA) on crystalline RePt4Rh at its relaxed geometry.

Properties
- ΔE to the lowest computed polymorph: 3.32 eV/f.u.
- Fermi-level density of states: 1.24 states/eV per atom
- Calculated total energy: -6.859 eV per atom
- Formation enthalpy at 0 K: 468 meV per atom
- Magnetization: 0.43 Bohr magnetons per cell

Cell lengths 5.1615, 5.1615, 5.1615 Å; angles 60.00, 60.00, 60.00 degrees
Atoms (fractional coordinates):
Re1 0.0000 0.0000 0.0000
Pt1 0.3749 0.3749 0.3749
Pt2 0.3749 0.3749 0.8754
Pt3 0.3749 0.8754 0.3749
Pt4 0.8754 0.3749 0.3749
Rh1 0.7500 0.7500 0.7500

=====

Record 3
VASP calculation (PBE-GGA) on crystalline AcLa2Sc at its relaxed geometry.

Properties
- ΔE to the lowest computed polymorph: 0.02 eV/f.u.
- Fermi-level density of states: 1.83 states/eV per atom
- Calculated total energy: -5.013 eV per atom
- Formation enthalpy at 0 K: 60 meV per atom
- Magnetization: 0.00 Bohr magnetons per cell

Cell lengths 3.8102, 3.8102, 9.8228 Å; angles 90.00, 90.00, 90.00 degrees
Atoms (fractional coordinates):
Ac1 0.0000 0.0000 0.0000
La1 0.5000 0.5000 0.2791
La2 0.5000 0.5000 0.7209
Sc1 0.0000 0.0000 0.5000